# 1
Below is a geometry-optimized Be2HgAs structure, with properties calculated at the PBE level.

Unit cell a=3.6190 b=3.6190 c=18.0192 alpha=90.00 beta=90.00 gamma=120.00
Space group R3m (No. 160, hexagonal axes)
One atom of each set of equivalent atoms:
Be  0.0000  0.0000  0.0000 [3 per cell]
Be  0.0000  0.0000  0.2855 [3 per cell]
Hg  0.0000  0.0000  0.5240 [3 per cell]
As  0.0000  0.0000  0.7075 [3 per cell]

The value obtained for the formation energy is 0.277 eV per atom. The value obtained for the magnetization is 0.00 μB per formula unit. The uncorrected energy is -2.824 eV/atom.

---

# 2
Below is a geometry-optimized CeTi2H8 structure, with properties calculated at the PBE level.

Unit cell a=5.778 b=8.738 c=3.570 alpha=90.00 beta=95.38 gamma=90.00
Space group C2/m (No. 12)
One atom of each set of equivalent atoms:
Ce  0.000  0.000  0.000 [2 per cell]
Ti  0.000  0.332  0.500 [4 per cell]
H  0.000  0.262  0.000 [4 per cell]
H  0.104  0.500  0.775 [4 per cell]
H  0.173  0.142  0.529 [8 per cell]

The value obtained for the magnetization is 0.88 μB per formula unit. The uncorrected energy is -4.792 eV/atom. For the energy above the most stable polymorph in this dataset, the calculation gives 0.00 kcal/mol of atoms.

---

# 3
Below is a geometry-optimized TcCl4 structure, with properties calculated at the PBE level.

Unit cell a=6.491 b=3.444 c=6.563 alpha=90.00 beta=98.41 gamma=90.00
Space group P2/m (No. 10)
One atom of each set of equivalent atoms:
Tc  0.000  0.000  0.000 [1 per cell]
Cl  0.178  0.500  0.833 [2 per cell]
Cl  0.265  0.000  0.273 [2 per cell]

The value obtained for the magnetization is 2.41 μB per formula unit. The energy relative to the elements, uncorrected comes out at -618 meV/atom. The uncorrected energy is -4.169 eV/atom. For the energy above the most stable polymorph in this dataset, the calculation gives 1.19 kcal/mol of atoms.

---

# 4
Below is a geometry-optimized Np2InF8 structure, with properties calculated at the PBE level.

Unit cell a=7.228 b=11.178 c=4.508 alpha=90.00 beta=98.51 gamma=90.00
Space group C2/m (No. 12)
One atom of each set of equivalent atoms:
Np  0.000  0.176  0.000 [4 per cell]
In  0.000  0.500  0.500 [2 per cell]
F  0.000  0.225  0.500 [4 per cell]
F  0.101  0.000  0.258 [4 per cell]
F  0.189  0.351  0.069 [8 per cell]

The value obtained for the magnetization is 7.00 μB per formula unit. The energy relative to the elements, uncorrected comes out at -3181 meV/atom. The uncorrected energy is -7.143 eV/atom.

---

Q: The lowest magnetization belongs to which entry?
A: Be2HgAs